Computed, not measured: crystalline SmYSc4 at its relaxed geometry at the PBE level of DFT.

Summary:
Crystal system: orthorhombic
Excess energy over the best structure of this formula in the dataset, kJ per mole of atoms: 0.0
Total DFT energy (no corrections), eV per formula unit: -36.10
DFT formation energy, eV per atom: 0.07

a b c (Å): 5.3363 6.2800 11.3500
angles (deg): 72.68 90.00 115.14
Positions (direct):
Sc: 0.0412 0.5834 0.7916
Sc: 0.7913 0.0826 0.0419
Sc: 0.2087 0.9174 0.9581
Sc: 0.5423 0.5834 0.2916
Sc: 0.9588 0.4166 0.2084
Sc: 0.2912 0.0826 0.5419
Sc: 0.7088 0.9174 0.4581
Sc: 0.4577 0.4166 0.7084
Y: 0.2503 0.0000 0.2500
Y: 0.7497 0.0000 0.7500
Sm: 0.0000 0.5000 0.5000
Sm: 0.5000 0.5000 0.0000

Computed, not measured: crystalline SmY12Sc5 at its relaxed geometry at the PBE level of DFT.

Summary:
Crystal system: monoclinic
Total DFT energy (no corrections), eV per formula unit: -113.12
DFT formation energy, eV per atom: 0.05

a b c (Å): 6.0866 6.0880 17.0150
angles (deg): 93.41 96.84 60.01
Positions (direct):
Sc: 0.1668 0.6664 0.5000
Sc: 0.5000 0.0000 0.5000
Sc: 0.6668 0.6665 0.0000
Sc: 0.8332 0.3337 0.5000
Sc: 0.3332 0.3335 0.0000
Y: 0.6082 0.0000 0.8334
Y: 0.8858 0.6669 0.6600
Y: 0.1142 0.3331 0.3400
Y: 0.2192 0.0000 0.6600
Y: 0.2792 0.6645 0.8333
Y: 0.5526 0.3331 0.6600
Y: 0.7808 0.0000 0.3400
Y: 0.0563 0.6645 0.1667
Y: 0.4474 0.6669 0.3400
Y: 0.9437 0.3355 0.8333
Y: 0.3918 0.0000 0.1666
Y: 0.7208 0.3355 0.1667
Sm: 0.0000 0.0000 0.0000

Computed, not measured: crystalline Sm3Y3Sc2 at its relaxed geometry at the PBE level of DFT.

Summary:
Crystal system: monoclinic
Excess energy over the best structure of this formula in the dataset, kJ per mole of atoms: 3.1
Total DFT energy (no corrections), eV per formula unit: -45.59
DFT formation energy, eV per atom: 0.08

a b c (Å): 5.4735 5.6713 9.0028
angles (deg): 109.77 107.70 90.00
Positions (direct):
Y: 0.1390 0.6770 0.2779
Y: 0.0000 0.0000 0.0000
Y: 0.8610 0.3230 0.7221
Sm: 0.6409 0.0942 0.2817
Sm: 0.3591 0.9058 0.7183
Sm: 0.5000 0.5000 0.0000
Sc: 0.2502 0.3098 0.5003
Sc: 0.7498 0.6902 0.4997

Computed, not measured: crystalline Sm2Y8Sc3 at its relaxed geometry at the PBE level of DFT.

Summary:
Crystal system: monoclinic
Excess energy over the best structure of this formula in the dataset, kJ per mole of atoms: 0.0
Total DFT energy (no corrections), eV per formula unit: -77.76
DFT formation energy, eV per atom: 0.18

a b c (Å): 6.0013 8.6921 8.6921
angles (deg): 80.51 71.06 71.06
Positions (direct):
Y: 0.3470 0.3880 0.9256
Y: 0.6530 0.6120 0.0744
Y: 0.2189 0.5892 0.5892
Y: 0.8860 0.1354 0.1354
Y: 0.7811 0.4108 0.4108
Y: 0.3470 0.9256 0.3880
Y: 0.6530 0.0744 0.6120
Y: 0.1140 0.8646 0.8646
Sm: 0.6544 0.6788 0.6788
Sm: 0.3456 0.3212 0.3212
Sc: 0.0000 0.2654 0.7346
Sc: 0.5000 0.0000 0.0000
Sc: 0.0000 0.7346 0.2654

Computed, not measured: crystalline Sm2Y8Sc3 at its relaxed geometry at the PBE level of DFT.

Summary:
Crystal system: monoclinic
Excess energy over the best structure of this formula in the dataset, kJ per mole of atoms: 6.7
Total DFT energy (no corrections), eV per formula unit: -76.85
DFT formation energy, eV per atom: 0.25

a b c (Å): 6.6045 8.7433 8.5552
angles (deg): 120.73 96.98 90.00
Positions (direct):
Sc: 0.0000 0.8367 0.0000
Sc: 0.0000 0.1633 0.0000
Sc: 0.5000 0.0000 0.0000
Y: 0.5756 0.5739 0.7809
Y: 0.8862 0.5881 0.1762
Y: 0.5756 0.2069 0.7809
Y: 0.4244 0.7931 0.2191
Y: 0.4244 0.4261 0.2191
Y: 0.7893 0.1908 0.3816
Y: 0.1138 0.4119 0.8238
Y: 0.2107 0.8092 0.6184
Sm: 0.2807 0.2022 0.4043
Sm: 0.7193 0.7978 0.5957

Computed, not measured: crystalline Sm2Y6Sc at its relaxed geometry at the PBE level of DFT.

Summary:
Crystal system: triclinic
Excess energy over the best structure of this formula in the dataset, kJ per mole of atoms: 0.0
Total DFT energy (no corrections), eV per formula unit: -54.38
DFT formation energy, eV per atom: 0.02

a b c (Å): 6.2712 8.4400 15.6820
angles (deg): 118.80 53.13 111.79
Positions (direct):
Y: 0.1650 0.4081 0.0823
Y: 0.4951 0.9184 0.5880
Y: 0.5049 0.0816 0.4120
Y: 0.0665 0.8617 0.3017
Y: 0.8350 0.5919 0.9177
Y: 0.1715 0.2463 0.2476
Y: 0.9335 0.1383 0.6983
Y: 0.7211 0.1907 0.9729
Y: 0.3797 0.3571 0.8103
Y: 0.6203 0.6429 0.1897
Y: 0.8285 0.7537 0.7524
Y: 0.2789 0.8093 0.0271
Sm: 0.6078 0.4702 0.3586
Sm: 0.0608 0.6932 0.4687
Sm: 0.9392 0.3068 0.5313
Sm: 0.3922 0.5298 0.6414
Sc: 0.7317 0.0258 0.1336
Sc: 0.2683 0.9742 0.8664

Computed, not measured: crystalline SmY2Sc6 at its relaxed geometry at the PBE level of DFT.

Summary:
Crystal system: trigonal
Total DFT energy (no corrections), eV per formula unit: -53.62
DFT formation energy, eV per atom: 0.22

a b c (Å): 5.9207 6.9479 6.9479
angles (deg): 60.01 89.99 89.99
Positions (direct):
Sc: 0.3184 0.8120 0.8120
Sc: 0.6806 0.6237 0.1876
Sc: 0.3194 0.3763 0.8124
Sc: 0.3194 0.8124 0.3763
Sc: 0.6806 0.1876 0.6237
Sc: 0.6816 0.1880 0.1880
Y: 0.8124 0.6665 0.6665
Y: 0.1876 0.3335 0.3335
Sm: 0.0000 0.0000 0.0000

Computed, not measured: crystalline SmYSc2 at its relaxed geometry at the PBE level of DFT.

Summary:
Crystal system: trigonal
Excess energy over the best structure of this formula in the dataset, kJ per mole of atoms: 1.7
Total DFT energy (no corrections), eV per formula unit: -23.56
DFT formation energy, eV per atom: 0.07

a b c (Å): 3.4685 3.4685 11.1807
angles (deg): 81.08 81.08 60.00
Positions (direct):
Y: 0.6663 0.6663 0.0011
Sc: 0.2505 0.2505 0.2484
Sc: 0.0827 0.0827 0.7520
Sm: 0.5005 0.5005 0.4984

Computed, not measured: crystalline Sm2YSc at its relaxed geometry at the PBE level of DFT.

Summary:
Crystal system: tetragonal
Excess energy over the best structure of this formula in the dataset, kJ per mole of atoms: 0.2
Total DFT energy (no corrections), eV per formula unit: -22.06
DFT formation energy, eV per atom: 0.04

a b c (Å): 6.0357 6.0357 5.0290
angles (deg): 65.38 65.38 49.24
Positions (direct):
Sc: 0.0000 0.0000 0.0000
Y: 0.5000 0.5000 0.5000
Sm: 0.7500 0.7500 0.7500
Sm: 0.2500 0.2500 0.2500

Computed, not measured: crystalline Sm15Y4Sc at its relaxed geometry at the PBE level of DFT.

Summary:
Crystal system: tetragonal
Total DFT energy (no corrections), eV per formula unit: -102.58
DFT formation energy, eV per atom: 0.02

a b c (Å): 5.0924 5.0924 25.3982
angles (deg): 90.00 90.00 90.00
Positions (direct):
Sm: 0.5000 0.0000 0.9035
Sm: 0.5000 0.5000 0.3992
Sm: 0.5000 0.0000 0.5000
Sm: 0.5000 0.0000 0.0965
Sm: 0.5000 0.5000 0.8027
Sm: 0.5000 0.0000 0.7017
Sm: 0.5000 0.5000 0.1973
Sm: 0.0000 0.5000 0.0965
Sm: 0.0000 0.5000 0.5000
Sm: 0.0000 0.5000 0.7017
Sm: 0.5000 0.0000 0.2983
Sm: 0.0000 0.5000 0.9035
Sm: 0.0000 0.5000 0.2983
Sm: 0.5000 0.5000 0.0000
Sm: 0.5000 0.5000 0.6008
Y: 0.0000 0.0000 0.1976
Y: 0.0000 0.0000 0.8024
Y: 0.0000 0.0000 0.3992
Y: 0.0000 0.0000 0.6008
Sc: 0.0000 0.0000 0.0000

Computed, not measured: crystalline Sm4YSc3 at its relaxed geometry at the PBE level of DFT.

Summary:
Crystal system: monoclinic
Excess energy over the best structure of this formula in the dataset, kJ per mole of atoms: 23.9
Total DFT energy (no corrections), eV per formula unit: -41.95
DFT formation energy, eV per atom: 0.30

a b c (Å): 3.4613 5.6765 17.1199
angles (deg): 127.62 95.80 90.00
Positions (direct):
Y: 0.5000 0.0000 0.0000
Sm: 0.3111 0.3062 0.6222
Sm: 0.6004 0.8729 0.2009
Sm: 0.3996 0.1271 0.7991
Sm: 0.6889 0.6938 0.3778
Sc: 0.7942 0.7487 0.5884
Sc: 0.0000 0.5000 0.0000
Sc: 0.2058 0.2513 0.4116

Computed, not measured: crystalline Sm8Y2Sc3 at its relaxed geometry at the PBE level of DFT.

Summary:
Crystal system: orthorhombic
Total DFT energy (no corrections), eV per formula unit: -66.98
DFT formation energy, eV per atom: 0.21

a b c (Å): 5.5702 7.5817 10.6271
angles (deg): 110.91 90.01 90.00
Positions (direct):
Sm: 0.9998 0.3320 0.6640
Sm: 0.9999 0.1243 0.2486
Sm: 0.5000 0.1945 0.7996
Sm: 0.5000 0.3949 0.2004
Sm: 0.0001 0.8757 0.7514
Sm: 0.5000 0.6051 0.7996
Sm: 0.0002 0.6680 0.3360
Sm: 0.5000 0.8055 0.2004
Sc: 0.0000 0.7058 0.0000
Sc: 0.5000 0.0000 0.0000
Sc: 0.0000 0.2942 0.0000
Y: 0.5002 0.7614 0.5228
Y: 0.4998 0.2386 0.4772

Computed, not measured: crystalline Sm6YSc2 at its relaxed geometry at the PBE level of DFT.

Summary:
Crystal system: monoclinic
Excess energy over the best structure of this formula in the dataset, kJ per mole of atoms: 13.5
Total DFT energy (no corrections), eV per formula unit: -45.56
DFT formation energy, eV per atom: 0.21

a b c (Å): 6.2023 10.5992 10.5992
angles (deg): 84.72 65.32 65.32
Positions (direct):
Sc: 0.8026 0.3715 0.2404
Sc: 0.6974 0.7596 0.6285
Sc: 0.1974 0.6285 0.7596
Sc: 0.3026 0.2404 0.3715
Sm: 0.8104 0.9898 0.4260
Sm: 0.2389 0.0680 0.1547
Sm: 0.2611 0.8453 0.9320
Sm: 0.6896 0.5740 0.0102
Sm: 0.9025 0.4416 0.6712
Sm: 0.3104 0.4260 0.9898
Sm: 0.7611 0.9320 0.8453
Sm: 0.0975 0.5584 0.3288
Sm: 0.4025 0.6712 0.4416
Sm: 0.5975 0.3288 0.5584
Sm: 0.1896 0.0102 0.5740
Sm: 0.7389 0.1547 0.0680
Y: 0.2500 0.1828 0.8172
Y: 0.7500 0.8172 0.1828

Computed, not measured: crystalline Sm6YSc2 at its relaxed geometry at the PBE level of DFT.

Summary:
Crystal system: monoclinic
Excess energy over the best structure of this formula in the dataset, kJ per mole of atoms: 0.0
Total DFT energy (no corrections), eV per formula unit: -46.82
DFT formation energy, eV per atom: 0.07

a b c (Å): 5.5894 11.8120 11.8120
angles (deg): 48.26 103.67 103.67
Positions (direct):
Sc: 0.5003 0.8332 0.6665
Sc: 0.4997 0.1668 0.3335
Sc: 0.0003 0.6665 0.8332
Sc: 0.9997 0.3335 0.1668
Sm: 0.5786 0.5788 0.0781
Sm: 0.1649 0.4961 0.3302
Sm: 0.6649 0.3302 0.4961
Sm: 0.4214 0.4212 0.9219
Sm: 0.3382 0.0029 0.1710
Sm: 0.0786 0.0781 0.5788
Sm: 0.3351 0.6698 0.5039
Sm: 0.1618 0.8290 0.9971
Sm: 0.6618 0.9971 0.8290
Sm: 0.8351 0.5039 0.6698
Sm: 0.8382 0.1710 0.0029
Sm: 0.9214 0.9219 0.4212
Y: 0.2500 0.2495 0.7505
Y: 0.7500 0.7505 0.2495

Computed, not measured: crystalline SmY4Sc3 at its relaxed geometry at the PBE level of DFT.

Summary:
Crystal system: orthorhombic
Excess energy over the best structure of this formula in the dataset, kJ per mole of atoms: 0.0
Total DFT energy (no corrections), eV per formula unit: -48.08
DFT formation energy, eV per atom: 0.19

a b c (Å): 3.3452 8.6170 8.6171
angles (deg): 81.42 78.81 78.81
Positions (direct):
Y: 0.6322 0.1225 0.6132
Y: 0.3678 0.3869 0.8775
Y: 0.3678 0.8775 0.3869
Y: 0.6322 0.6132 0.1225
Sm: 0.5000 0.0000 0.0000
Sc: 0.0000 0.5000 0.5000
Sc: 0.7592 0.2408 0.2408
Sc: 0.2408 0.7592 0.7592

Computed, not measured: crystalline SmYSc2 at its relaxed geometry at the PBE level of DFT.

Summary:
Crystal system: trigonal
Excess energy over the best structure of this formula in the dataset, kJ per mole of atoms: 1.3
Total DFT energy (no corrections), eV per formula unit: -23.58
DFT formation energy, eV per atom: 0.07

a b c (Å): 3.4513 3.4513 11.1986
angles (deg): 81.14 81.14 60.00
Positions (direct):
Y: 0.5000 0.5000 0.5000
Sc: 0.2498 0.2498 0.2506
Sc: 0.7502 0.7502 0.7494
Sm: 0.0000 0.0000 0.0000

Computed, not measured: crystalline Sm4Y5Sc4 at its relaxed geometry at the PBE level of DFT.

Summary:
Crystal system: tetragonal
Total DFT energy (no corrections), eV per formula unit: -75.87
DFT formation energy, eV per atom: 0.05

a b c (Å): 4.9460 9.2409 9.2409
angles (deg): 85.89 74.48 74.48
Positions (direct):
Y: 0.5426 0.7659 0.1490
Y: 0.4574 0.2341 0.8510
Y: 0.3085 0.1490 0.2341
Y: 0.6915 0.8510 0.7659
Y: 0.0000 0.0000 0.0000
Sc: 0.2319 0.6126 0.9236
Sc: 0.7681 0.3874 0.0764
Sc: 0.1555 0.0764 0.6126
Sc: 0.8445 0.9236 0.3874
Sm: 0.3803 0.6984 0.5410
Sm: 0.0787 0.5410 0.3016
Sm: 0.6197 0.3016 0.4590
Sm: 0.9213 0.4590 0.6984

Computed, not measured: crystalline Sm4YSc5 at its relaxed geometry at the PBE level of DFT.

Summary:
Crystal system: tetragonal
Total DFT energy (no corrections), eV per formula unit: -54.60
DFT formation energy, eV per atom: 0.24

a b c (Å): 5.6824 7.7808 7.7808
angles (deg): 82.34 68.58 68.58
Positions (direct):
Sc: 0.1224 0.6198 0.0000
Sc: 0.7422 0.3802 0.0000
Sc: 0.6912 0.0000 0.0000
Sc: 0.7423 0.0000 0.3802
Sc: 0.1224 0.0000 0.6198
Sm: 0.4703 0.6781 0.3219
Sm: 0.1484 0.3219 0.3219
Sm: 0.7922 0.6781 0.6781
Sm: 0.4703 0.3219 0.6781
Y: 0.2086 0.0000 0.0000

Computed, not measured: crystalline Sm12YSc6 at its relaxed geometry at the PBE level of DFT.

Summary:
Crystal system: cubic
Excess energy over the best structure of this formula in the dataset, kJ per mole of atoms: 0.0
Total DFT energy (no corrections), eV per formula unit: -96.59
DFT formation energy, eV per atom: 0.24

a b c (Å): 9.1707 9.1707 9.1707
angles (deg): 109.47 109.47 109.47
Positions (direct):
Sc: 0.8622 0.3622 0.5000
Sc: 0.5000 0.8622 0.3622
Sc: 0.3622 0.5000 0.8622
Sc: 0.5000 0.1378 0.6378
Sc: 0.1378 0.6378 0.5000
Sc: 0.6378 0.5000 0.1378
Sm: 0.2683 0.4670 0.1987
Sm: 0.1987 0.7317 0.9304
Sm: 0.1987 0.2683 0.4670
Sm: 0.8013 0.2683 0.0696
Sm: 0.7317 0.5330 0.8013
Sm: 0.8013 0.7317 0.5330
Sm: 0.7317 0.9304 0.1987
Sm: 0.9304 0.1987 0.7317
Sm: 0.2683 0.0696 0.8013
Sm: 0.0696 0.8013 0.2683
Sm: 0.4670 0.1987 0.2683
Sm: 0.5330 0.8013 0.7317
Y: 0.0000 0.0000 0.0000

Computed, not measured: crystalline Sm2Y3Sc2 at its relaxed geometry at the PBE level of DFT.

Summary:
Crystal system: monoclinic
Excess energy over the best structure of this formula in the dataset, kJ per mole of atoms: 9.5
Total DFT energy (no corrections), eV per formula unit: -40.57
DFT formation energy, eV per atom: 0.13

a b c (Å): 3.4250 8.5203 8.6471
angles (deg): 118.43 101.42 90.00
Positions (direct):
Sm: 0.1400 0.3112 0.2800
Sm: 0.8600 0.6888 0.7200
Y: 0.2118 0.8070 0.4236
Y: 0.7882 0.1930 0.5764
Y: 0.0000 0.5000 0.0000
Sc: 0.5643 0.9085 0.1285
Sc: 0.4357 0.0915 0.8715